This record from Alexandria via LeMat-Bulk describes an optimized crystal structure of Li2TiPtAu. The functional is PBE.

The structure in POSCAR format:
```
Li2TiPtAu
1.0
4.824 0.000 0.000
0.000 4.824 0.000
0.000 0.000 4.584
Li Ti Pt Au
2 1 1 1
direct
0.000 0.500 0.000
0.500 0.000 0.000
0.000 0.000 0.000
0.000 0.000 0.500
0.500 0.500 0.500
```

## Properties
Crystal system ... tetragonal
Symmetry ... P4/mmm
Formation energy ... 0.73 eV/atom
Magnetic moment ... 0.3845 μB/atom